1.
Ba3SrTi | SCAN | PBEsol geometry

Results
Its space group is Pm-3m, No. 221. The formation energy is 566 meV per atom.

a b c (Å): 6.255 6.255 6.255
angles (deg): 90.00 90.00 90.00
Each line ends with the local moment (μB).
Atoms (fractional coordinates):
Sr (0.500, 0.500, 0.500)  -0.06
Ba (0.000, 0.500, 0.000)  0.03
Ba (0.000, 0.000, 0.500)  0.03
Ba (0.500, 0.000, 0.000)  0.03
Ti (0.000, 0.000, 0.000)  1.65

2.
BaSr2Tl | SCAN | PBEsol geometry

Results
Its space group is Fm-3m, No. 225. The calculation puts the distance to the lowest polymorph of the same formula at 155 meV/atom. The formation energy is -169 meV per atom.

a b c (Å): 6.031 6.031 6.031
angles (deg): 60.00 60.00 60.00
Atoms (fractional coordinates):
Sr (0.250, 0.250, 0.250)
Sr (0.750, 0.750, 0.750)
Tl (0.500, 0.500, 0.500)
Ba (0.000, 0.000, 0.000)